Material: GaNiB
Method: DFT, PBE
State: optimized geometry Values from VASP.

Computed properties:
Spin magnetization = 0.00 μB per cell
SG = F-43m (216)
Energy = -5.05 eV per atom
Mass density = 6.94 Mg/m³

Geometry as Quantum ESPRESSO input:
```
&SYSTEM
  ibrav = 0, nat = 3, ntyp = 3
/
ATOMIC_SPECIES
Ga 69.72 Ga.upf
Ni 58.69 Ni.upf
B 10.81 B.upf
ATOMIC_POSITIONS angstrom
Ga 0.0000 0.0000 0.0000
Ni 2.5544 2.5544 2.5544
B 1.2772 1.2772 1.2772
CELL_PARAMETERS angstrom
0.0000 2.5544 2.5544
2.5544 0.0000 2.5544
2.5544 2.5544 0.0000
```